Record 1
Compound: CePa2Cu
Source: the Alexandria database
Functional: PBE
Structure: optimized geometry

```
4
Lattice="3.075 0.000 0.000 1.538 2.663 0.000 1.538 0.888 10.847" Properties=species:S:1:pos:R:3 pbc="T T T"
Cu 3.075 1.776 5.424
Pa 4.613 2.663 3.009
Pa 1.538 0.888 7.838
Ce 0.000 0.000 0.000
```

Computed properties:
total magnetic moment = 0.00 Bohr magnetons per cell
D(E_F) = 7.84 states/eV per cell
electronic total energy = -28.2 eV per cell

Record 2
Compound: Ce2PaCu
Source: the Alexandria database
Functional: PBE
Structure: optimized geometry

```
4
Lattice="-0.425 -1.240 3.047 3.288 -0.060 0.434 -0.275 7.899 3.176" Properties=species:S:1:pos:R:3 pbc="T T T"
Cu 1.432 -0.650 1.740
Ce -0.062 1.787 0.718
Ce -0.213 6.112 2.457
Pa 1.294 3.299 3.328
```

Computed properties:
energy relative to the lowest polymorph listed for this composition = 0.000 eV/f.u.
total magnetic moment = 0.00 Bohr magnetons per cell
D(E_F) = 7.56 states/eV per cell

Record 3
Compound: CePaCu
Source: the Alexandria database
Functional: PBE
Structure: optimized geometry

```
6
Lattice="3.112 0.000 0.000 0.000 5.020 0.000 -1.556 0.000 8.229" Properties=species:S:1:pos:R:3 pbc="T T T"
Ce 0.000 1.255 1.796
Ce 1.556 3.765 6.433
Cu 1.556 3.765 0.729
Cu 0.000 1.255 7.500
Pa 1.556 1.255 4.902
Pa 0.000 3.765 3.327
```

Computed properties:
energy relative to the lowest polymorph listed for this composition = 0.000 eV/f.u.
total magnetic moment = 0.00 Bohr magnetons per cell
D(E_F) = 11.18 states/eV per cell

Record 4
Compound: Ce2PaCu
Source: the Alexandria database
Functional: PBE
Structure: optimized geometry

```
4
Lattice="-0.350 1.303 -2.760 -2.236 -0.954 -1.877 -7.615 7.448 2.772" Properties=species:S:1:pos:R:3 pbc="T T T"
Ce -5.755 5.429 1.583
Ce -4.446 2.368 -3.447
Pa 0.000 0.000 0.000
Cu -5.100 3.898 -0.932
```

Computed properties:
energy relative to the lowest polymorph listed for this composition = 0.749 eV/f.u.
total magnetic moment = 0.00 Bohr magnetons per cell
D(E_F) = 9.11 states/eV per cell

Record 5
Compound: CePaCu4
Source: the Alexandria database
Functional: PBE
Structure: optimized geometry

```
6
Lattice="-2.311 1.374 -2.737 3.045 0.675 -2.234 -1.010 -8.125 -0.536" Properties=species:S:1:pos:R:3 pbc="T T T"
Cu -0.543 -5.996 -2.551
Cu 0.267 -0.081 -2.955
Cu -1.374 -1.724 -2.394
Cu -1.580 -4.004 -3.364
Ce 1.201 -3.213 -2.627
Pa 0.000 0.000 0.000
```

Computed properties:
energy relative to the lowest polymorph listed for this composition = 0.163 eV/f.u.
total magnetic moment = 0.72 Bohr magnetons per cell
D(E_F) = 10.27 states/eV per cell

Record 6
Compound: CePaCu
Source: the Alexandria database
Functional: PBE
Structure: optimized geometry

```
3
Lattice="3.467 0.000 0.000 0.000 4.649 0.000 0.000 -2.325 4.026" Properties=species:S:1:pos:R:3 pbc="T T T"
Pa 0.058 0.000 0.000
Ce 2.355 2.325 1.342
Cu 1.055 0.000 2.684
```

Computed properties:
energy relative to the lowest polymorph listed for this composition = 0.351 eV/f.u.
total magnetic moment = 0.17 Bohr magnetons per cell
D(E_F) = 7.47 states/eV per cell

Record 7
Compound: CePaCu4
Source: the Alexandria database
Functional: PBE
Structure: optimized geometry

```
6
Lattice="-1.975 0.337 4.816 -0.783 -4.326 2.806 3.018 -1.010 4.133" Properties=species:S:1:pos:R:3 pbc="T T T"
Cu 0.162 -3.126 7.351
Cu 0.555 -0.957 5.944
Cu 1.153 -3.295 4.936
Cu -1.351 -2.620 5.278
Ce 0.065 -1.250 2.939
Pa 0.000 0.000 0.000
```

Computed properties:
energy relative to the lowest polymorph listed for this composition = 0.000 eV/f.u.
total magnetic moment = 0.00 Bohr magnetons per cell
D(E_F) = 8.34 states/eV per cell

Record 8
Compound: CePaCu2
Source: the Alexandria database
Functional: PBE
Structure: optimized geometry

```
4
Lattice="-0.781 -1.498 -4.591 2.315 -3.956 -1.709 -2.495 -4.123 -0.837" Properties=species:S:1:pos:R:3 pbc="T T T"
Pa -0.480 -4.789 -3.569
Ce 0.000 0.000 0.000
Cu -0.720 -7.182 -5.353
Cu -0.241 -2.395 -1.784
```

Computed properties:
total magnetic moment = 1.72 Bohr magnetons per cell
D(E_F) = 7.84 states/eV per cell
electronic total energy = -23.1 eV per cell

Record 9
Compound: Ce2PaCu9
Source: the Alexandria database
Functional: PBE
Structure: optimized geometry

```
12
Lattice="4.929 0.000 1.467 2.246 4.387 1.467 0.029 0.017 8.918" Properties=species:S:1:pos:R:3 pbc="T T T"
Ce 6.131 3.749 6.439
Ce 1.072 0.655 5.412
Cu 3.602 2.202 5.926
Cu 5.469 1.857 4.100
Cu 4.145 4.022 4.100
Cu 4.823 2.949 10.835
Cu 3.036 1.857 3.376
Cu 3.058 0.382 7.752
Cu 4.167 2.548 8.476
Cu 1.734 2.548 7.752
Cu 2.380 1.455 1.016
Pa 0.000 0.000 0.000
```

Computed properties:
total magnetic moment = 2.04 Bohr magnetons per cell
D(E_F) = 17.10 states/eV per cell
electronic total energy = -58.7 eV per cell

Record 10
Compound: CePaCu
Source: the Alexandria database
Functional: PBE
Structure: optimized geometry

```
3
Lattice="-1.647 -1.954 -1.622 1.917 0.310 -2.321 3.717 -4.477 4.445" Properties=species:S:1:pos:R:3 pbc="T T T"
Pa 0.111 -0.153 0.072
Ce 2.480 -3.412 1.592
Cu 1.396 -2.556 -1.162
```

Computed properties:
energy relative to the lowest polymorph listed for this composition = 0.182 eV/f.u.
total magnetic moment = 0.00 Bohr magnetons per cell
D(E_F) = 5.52 states/eV per cell

Record 11
Compound: Ce2PaCu
Source: the Alexandria database
Functional: PBE
Structure: optimized geometry

```
4
Lattice="-3.521 2.820 1.779 -0.842 -2.958 3.024 2.843 1.887 2.638" Properties=species:S:1:pos:R:3 pbc="T T T"
Pa -0.760 0.874 3.720
Ce -0.421 -1.479 1.512
Ce 1.422 0.944 1.319
Cu -1.761 1.410 0.889
```

Computed properties:
energy relative to the lowest polymorph listed for this composition = 0.798 eV/f.u.
total magnetic moment = 0.00 Bohr magnetons per cell
D(E_F) = 11.54 states/eV per cell

Record 12
Compound: CePaCuRu
Source: the Alexandria database
Functional: PBE
Structure: optimized geometry

```
4
Lattice="4.869 0.000 0.000 2.435 4.217 0.000 2.435 1.406 3.976" Properties=species:S:1:pos:R:3 pbc="T T T"
Ru 7.304 4.217 2.982
Cu 2.435 1.406 0.994
Pa 0.000 0.000 0.000
Ce 4.869 2.811 1.988
```

Computed properties:
total magnetic moment = 0.00 Bohr magnetons per cell
D(E_F) = 6.32 states/eV per cell
electronic total energy = -29.3 eV per cell

Record 13
Compound: Ce2PaCu2Si2
Source: the Alexandria database
Functional: PBE
Structure: optimized geometry

```
7
Lattice="-1.148 -3.938 -0.310 0.739 -2.608 3.094 -8.308 -0.093 4.640" Properties=species:S:1:pos:R:3 pbc="T T T"
Si -1.792 -1.759 1.680
Si -6.925 -4.880 5.744
Ce -4.887 -0.968 3.086
Ce -3.830 -5.671 4.338
Pa 0.000 0.000 0.000
Cu -1.931 -3.940 2.609
Cu -6.786 -2.699 4.815
```

Computed properties:
formation energy from raw total energies = -270 kJ/mol of formula units
total magnetic moment = 0.99 Bohr magnetons per cell
D(E_F) = 11.13 states/eV per cell

Record 14
Compound: CeCuPb2
Source: the Alexandria database
Functional: PBE
Structure: optimized geometry

```
4
Lattice="-1.868 -1.916 -2.126 1.104 -0.597 -3.179 4.867 -9.641 1.664" Properties=species:S:1:pos:R:3 pbc="T T T"
Pb 3.288 -6.927 0.606
Pb 0.815 -5.226 -4.247
Cu 2.052 -6.077 -1.820
Ce 0.000 0.000 0.000
```

Computed properties:
energy relative to the lowest polymorph listed for this composition = 2.082 eV/f.u.
total magnetic moment = 1.52 Bohr magnetons per cell
D(E_F) = 6.39 states/eV per cell

Record 15
Compound: CeCuPb2
Source: the Alexandria database
Functional: PBE
Structure: optimized geometry

```
8
Lattice="4.606 0.000 -1.278 -0.354 4.593 -1.278 0.108 0.116 9.332" Properties=species:S:1:pos:R:3 pbc="T T T"
Pb 2.303 0.000 -0.639
Pb 2.828 3.055 1.254
Pb -0.177 2.296 -0.639
Pb 1.531 1.654 5.522
Ce 3.748 4.049 4.572
Ce 0.611 0.660 2.205
Cu 3.420 1.206 3.388
Cu 0.940 3.503 3.388
```

Computed properties:
energy relative to the lowest polymorph listed for this composition = 0.000 eV/f.u.
total magnetic moment = 1.32 Bohr magnetons per cell
D(E_F) = 11.33 states/eV per cell

Record 16
Compound: Ce5CuPb3
Source: the Alexandria database
Functional: PBE
Structure: optimized geometry

```
18
Lattice="-8.671 0.299 4.088 0.786 -0.552 -9.542 -0.049 -6.555 0.375" Properties=species:S:1:pos:R:3 pbc="T T T"
Pb -3.043 -5.013 -1.798
Pb 0.449 -5.258 -5.623
Pb -5.402 -4.732 2.810
Pb -4.891 -1.795 -3.281
Pb 0.287 -1.849 -3.544
Pb -3.318 -1.525 1.652
Cu -0.025 -3.278 0.187
Cu 0.000 0.000 0.000
Ce -2.319 -4.838 1.357
Ce -2.366 -0.268 -4.999
Ce 0.567 -2.045 -6.937
Ce -5.543 -3.262 -0.268
Ce -6.401 -1.419 3.106
Ce -5.518 0.015 -0.456
Ce -2.087 -1.705 -1.342
Ce 0.170 -5.062 -2.230
Ce -2.391 -3.546 -4.812
Ce -5.846 -5.103 -3.738
```

Computed properties:
total magnetic moment = 13.39 Bohr magnetons per cell
D(E_F) = 53.87 states/eV per cell
electronic total energy = -95.7 eV per cell

Record 17
Compound: Ce3CuPb
Source: the Alexandria database
Functional: PBE
Structure: optimized geometry

```
10
Lattice="4.042 0.000 -0.913 0.004 5.440 0.018 0.474 0.915 11.498" Properties=species:S:1:pos:R:3 pbc="T T T"
Ce 2.743 1.350 2.741
Ce 0.297 1.343 1.312
Ce 1.776 5.005 7.861
Ce 4.223 5.012 9.290
Ce 0.917 3.957 4.057
Ce 3.603 2.398 6.546
Cu 1.198 1.169 5.301
Cu 3.322 5.186 5.302
Pb 2.180 2.285 9.647
Pb 2.340 4.071 0.956
```

Computed properties:
total magnetic moment = 3.33 Bohr magnetons per cell
D(E_F) = 24.52 states/eV per cell
electronic total energy = -53.4 eV per cell

Record 18
Compound: CeCuPb2
Source: the Alexandria database
Functional: PBE
Structure: optimized geometry

```
4
Lattice="-2.497 -3.799 -0.148 2.976 -1.832 -3.176 2.593 -1.840 3.492" Properties=species:S:1:pos:R:3 pbc="T T T"
Pb 1.296 -0.920 1.746
Pb 1.488 -0.916 -1.588
Cu -1.248 -1.900 -0.074
Ce 1.536 -3.736 0.084
```

Computed properties:
energy relative to the lowest polymorph listed for this composition = 0.407 eV/f.u.
total magnetic moment = 0.80 Bohr magnetons per cell
D(E_F) = 5.39 states/eV per cell

Record 19
Compound: CePmCuPb
Source: the Alexandria database
Functional: PBE
Structure: optimized geometry

```
4
Lattice="-0.047 -3.641 -3.917 0.833 -5.160 1.135 -4.029 -3.499 -0.351" Properties=species:S:1:pos:R:3 pbc="T T T"
Pm -1.622 -6.150 -1.567
Cu -0.811 -3.075 -0.783
Ce 0.000 0.000 0.000
Pb -2.433 -9.224 -2.350
```

Computed properties:
total magnetic moment = 1.96 Bohr magnetons per cell
D(E_F) = 9.59 states/eV per cell
electronic total energy = -19.3 eV per cell

Record 20
Compound: CePrCuPb
Source: the Alexandria database
Functional: PBE
Structure: optimized geometry

```
4
Lattice="5.389 0.000 0.000 2.694 4.667 0.000 2.694 1.556 4.400" Properties=species:S:1:pos:R:3 pbc="T T T"
Pr 5.389 3.111 2.200
Ce 0.000 0.000 0.000
Pb 8.083 4.667 3.300
Cu 2.694 1.556 1.100
```

Computed properties:
total magnetic moment = 1.97 Bohr magnetons per cell
D(E_F) = 9.61 states/eV per cell
electronic total energy = -19.3 eV per cell

Record 21
Compound: CeCu2PbS4
Source: the Alexandria database
Functional: PBE
Structure: optimized geometry

```
8
Lattice="-5.552 -3.444 0.950 -0.104 -5.394 2.779 -3.225 0.286 5.133" Properties=species:S:1:pos:R:3 pbc="T T T"
Ce -4.440 -4.276 4.431
S -5.639 -6.053 2.720
S -6.082 -4.261 6.627
S -1.879 -4.979 5.113
S -4.161 -1.811 3.262
Cu -2.064 -2.255 2.704
Cu -6.816 -6.297 6.157
Pb 0.000 0.000 0.000
```

Computed properties:
formation energy from raw total energies = -577 kJ/mol of formula units
total magnetic moment = 0.30 Bohr magnetons per cell
D(E_F) = 4.08 states/eV per cell

Record 22
Compound: Ce2CuPbS5
Source: the Alexandria database
Functional: PBE
Structure: optimized geometry

```
18
Lattice="4.013 0.000 0.000 -2.006 8.563 0.000 0.000 0.000 12.309" Properties=species:S:1:pos:R:3 pbc="T T T"
Ce 2.006 6.429 9.718
Ce 0.000 1.994 8.197
Ce 0.000 2.134 3.564
Ce 2.006 6.569 2.042
S 0.000 6.083 12.165
S 0.000 8.530 9.641
S 2.006 0.033 3.486
S 0.000 0.558 1.096
S 0.000 5.213 3.530
S 2.006 3.347 1.844
S 2.006 2.480 6.010
S 2.006 8.004 7.250
S 0.000 5.216 7.999
S 2.006 3.350 9.684
Cu 0.000 4.318 1.261
Cu 2.006 4.245 7.416
Pb 0.000 6.991 5.770
Pb 2.006 1.572 11.924
```

Computed properties:
formation energy from raw total energies = -1030 kJ/mol of formula units
total magnetic moment = 2.05 Bohr magnetons per cell
D(E_F) = 19.45 states/eV per cell

Record 23
Compound: CeCuPbS4
Source: the Alexandria database
Functional: PBE
Structure: optimized geometry

```
14
Lattice="-3.860 -3.990 -4.065 3.987 0.037 -3.822 4.661 -5.105 4.812" Properties=species:S:1:pos:R:3 pbc="T T T"
S 4.114 -4.691 -1.740
S 2.846 -6.660 0.908
S -2.458 -5.295 -2.736
S 0.674 -4.366 -1.335
S 7.246 -3.762 -0.339
S 1.943 -2.398 -3.983
S 5.373 -3.780 1.457
S -0.585 -5.278 -4.531
Pb 4.651 -7.662 -1.209
Pb 0.137 -1.395 -1.866
Ce 2.581 -3.903 0.659
Ce 2.207 -5.155 -3.734
Cu 3.545 -2.569 -2.313
Cu 1.244 -6.489 -0.761
```

Computed properties:
formation energy from raw total energies = -644 kJ/mol of formula units
total magnetic moment = 0.59 Bohr magnetons per cell
D(E_F) = 6.08 states/eV per cell

Record 24
Compound: CeScCuPb
Source: the Alexandria database
Functional: PBE
Structure: optimized geometry

```
4
Lattice="-3.609 -1.489 3.357 -1.148 -4.995 0.499 1.349 -2.538 4.272" Properties=species:S:1:pos:R:3 pbc="T T T"
Sc 0.000 0.000 0.000
Pb -2.556 -6.766 6.096
Cu -0.852 -2.255 2.032
Ce -1.704 -4.511 4.064
```

Computed properties:
total magnetic moment = 1.76 Bohr magnetons per cell
D(E_F) = 9.79 states/eV per cell
electronic total energy = -20.8 eV per cell

Record 25
Compound: CeCuPd
Source: the Alexandria database
Functional: PBE
Structure: optimized geometry

```
3
Lattice="3.511 0.000 0.000 0.000 4.458 0.000 0.000 -2.229 3.861" Properties=species:S:1:pos:R:3 pbc="T T T"
Pd 0.585 0.000 0.000
Ce 2.341 2.229 1.287
Cu 0.585 0.000 2.574
```

Computed properties:
energy relative to the lowest polymorph listed for this composition = 0.016 eV/f.u.
total magnetic moment = 0.93 Bohr magnetons per cell
D(E_F) = 5.50 states/eV per cell

Record 26
Compound: CeCu9Pd2
Source: the Alexandria database
Functional: PBE
Structure: optimized geometry

```
12
Lattice="4.774 0.000 1.421 2.176 4.250 1.421 0.101 0.062 8.394" Properties=species:S:1:pos:R:3 pbc="T T T"
Cu 1.744 2.551 7.162
Cu 3.066 0.390 7.162
Cu 3.985 3.922 4.073
Cu 2.879 1.760 3.350
Cu 5.307 1.760 4.073
Cu 4.172 2.551 7.885
Cu 3.525 2.156 5.618
Cu 4.629 2.830 1.910
Cu 2.422 1.481 9.325
Pd 5.987 3.661 6.080
Pd 1.064 0.651 5.156
Ce 0.000 0.000 0.000
```

Computed properties:
total magnetic moment = 0.70 Bohr magnetons per cell
D(E_F) = 8.69 states/eV per cell
electronic total energy = -54.8 eV per cell